Entry i
# Sr2ClO (GGA-PBE, relaxed)
data_Sr2ClO
_cell_length_a 6.519
_cell_length_b 6.519
_cell_length_c 11.452
_cell_angle_alpha 90.00
_cell_angle_beta 90.00
_cell_angle_gamma 90.00
_space_group_name_H-M_alt 'I -4 2 d'
_space_group_IT_number 122
_space_group_name_Hall 'I -4 2bw'
loop_
_atom_site_label
_atom_site_type_symbol
_atom_site_fract_x
_atom_site_fract_y
_atom_site_fract_z
_atom_site_occupancy
Sr1 Sr 0.171 0.250 0.125 1
Cl1 Cl 0.000 0.000 0.500 1
O1 O 0.000 0.000 0.000 1
# **Calculated volume**: 30.4 Å³ per atom
# **Total magnetic moment**: 0.136 μB/atom


Entry ii
# Sr2ClO (GGA-PBE, relaxed)
data_Sr2ClO
_cell_length_a 6.676
_cell_length_b 7.409
_cell_length_c 11.834
_cell_angle_alpha 90.00
_cell_angle_beta 119.06
_cell_angle_gamma 90.00
_space_group_name_H-M_alt 'P 1 2/c 1'
_space_group_IT_number 13
loop_
_space_group_symop_operation_xyz
'x,y,z'
'-x,-y,-z'
'-x,y,-z+1/2'
'x,-y,z+1/2'
loop_
_atom_site_label
_atom_site_type_symbol
_atom_site_fract_x
_atom_site_fract_y
_atom_site_fract_z
_atom_site_occupancy
Sr1 Sr 0.060 0.209 0.084 1
Sr2 Sr 0.284 0.197 0.834 1
Cl1 Cl 0.407 0.195 0.377 1
O1 O 0.016 0.105 0.621 1
# **Calculated volume**: 32.0 Å³ per atom
# **Total magnetic moment**: 0.010 μB/atom


Which of them is least stable? Easy: entry i.


Entry i
# Sr2ClO (GGA-PBE, relaxed)
data_Sr2ClO
_cell_length_a 3.8429
_cell_length_b 3.8429
_cell_length_c 21.0058
_cell_angle_alpha 90.00
_cell_angle_beta 90.00
_cell_angle_gamma 120.00
_space_group_name_H-M_alt 'R -3 m'
_space_group_IT_number 166
_space_group_name_Hall '-R 3 2"'
loop_
_atom_site_label
_atom_site_type_symbol
_atom_site_fract_x
_atom_site_fract_y
_atom_site_fract_z
_atom_site_occupancy
Sr1 Sr 0.0000 0.0000 0.2329 1
Cl1 Cl 0.0000 0.0000 0.0000 1
O1 O 0.0000 0.0000 0.5000 1
# **Calculated volume**: 22.4 Å³ per atom
# **Total magnetic moment**: 0.001 μB/atom


Entry ii
# Sr2ClO (GGA-PBE, relaxed)
data_Sr2ClO
_cell_length_a 6.885
_cell_length_b 6.885
_cell_length_c 6.885
_cell_angle_alpha 90.00
_cell_angle_beta 90.00
_cell_angle_gamma 90.00
_space_group_name_H-M_alt 'F m -3 m'
_space_group_IT_number 225
_space_group_name_Hall '-F 4 2 3'
loop_
_atom_site_label
_atom_site_type_symbol
_atom_site_fract_x
_atom_site_fract_y
_atom_site_fract_z
_atom_site_occupancy
Sr1 Sr 0.250 0.250 0.250 1
Cl1 Cl 0.000 0.000 0.000 1
O1 O 0.000 0.000 0.500 1
# **Calculated volume**: 20.4 Å³ per atom
# **Total magnetic moment**: 0.000 μB/atom


Which of them is least stable? Easy: entry ii.


Entry i
# SrCl2O (GGA-PBE, relaxed)
data_SrCl2O
_cell_length_a 10.646
_cell_length_b 4.768
_cell_length_c 7.950
_cell_angle_alpha 90.00
_cell_angle_beta 90.00
_cell_angle_gamma 90.00
_space_group_name_H-M_alt 'P n m a'
_space_group_IT_number 62
loop_
_space_group_symop_operation_xyz
'x,y,z'
'-x,-y,-z'
'-x+1/2,-y,z+1/2'
'x+1/2,y,-z+1/2'
'x+1/2,-y+1/2,-z+1/2'
'-x+1/2,y+1/2,z+1/2'
'-x,y+1/2,-z'
'x,-y+1/2,z'
loop_
_atom_site_label
_atom_site_type_symbol
_atom_site_fract_x
_atom_site_fract_y
_atom_site_fract_z
_atom_site_occupancy
Sr1 Sr 0.183 0.250 0.124 1
Cl1 Cl 0.106 0.750 0.887 1
Cl2 Cl 0.114 0.750 0.355 1
O1 O 0.237 0.250 0.623 1
# **Calculated volume**: 25.2 Å³ per atom
# **Total magnetic moment**: 0.498 μB/atom


Entry ii
# SrCl2O (GGA-PBE, relaxed)
data_SrCl2O
_cell_length_a 4.8451
_cell_length_b 4.8451
_cell_length_c 13.0544
_cell_angle_alpha 90.00
_cell_angle_beta 90.00
_cell_angle_gamma 120.00
_space_group_name_H-M_alt 'R -3 m'
_space_group_IT_number 166
_space_group_name_Hall '-R 3 2"'
loop_
_atom_site_label
_atom_site_type_symbol
_atom_site_fract_x
_atom_site_fract_y
_atom_site_fract_z
_atom_site_occupancy
Sr1 Sr 0.0000 0.0000 0.0000 1
Cl1 Cl 0.0000 0.0000 0.2417 1
O1 O 0.0000 0.0000 0.5000 1
# **Calculated volume**: 22.1 Å³ per atom
# **Total magnetic moment**: 0.500 μB/atom


Which of them is least stable? Easy: entry ii.


Entry i
# SrCl2O (GGA-PBE, relaxed)
data_SrCl2O
_cell_length_a 4.002
_cell_length_b 4.002
_cell_length_c 21.590
_cell_angle_alpha 90.00
_cell_angle_beta 90.00
_cell_angle_gamma 90.00
_space_group_name_H-M_alt 'I -4 2 d'
_space_group_IT_number 122
_space_group_name_Hall 'I -4 2bw'
loop_
_atom_site_label
_atom_site_type_symbol
_atom_site_fract_x
_atom_site_fract_y
_atom_site_fract_z
_atom_site_occupancy
Sr1 Sr 0.000 0.000 0.000 1
Cl1 Cl 0.250 0.250 0.125 1
O1 O 0.000 0.000 0.500 1
# **Calculated volume**: 21.6 Å³ per atom
# **Total magnetic moment**: 0.310 μB/atom


Entry ii
# SrCl2O (GGA-PBE, relaxed)
data_SrCl2O
_cell_length_a 4.456
_cell_length_b 4.535
_cell_length_c 9.353
_cell_angle_alpha 90.00
_cell_angle_beta 90.00
_cell_angle_gamma 90.00
_space_group_name_H-M_alt 'I m m 2'
_space_group_IT_number 44
loop_
_space_group_symop_operation_xyz
'x,y,z'
'-x,-y,z'
'-x,y,z'
'x,-y,z'
'x+1/2,y+1/2,z+1/2'
'-x+1/2,-y+1/2,z+1/2'
'-x+1/2,y+1/2,z+1/2'
'x+1/2,-y+1/2,z+1/2'
loop_
_atom_site_label
_atom_site_type_symbol
_atom_site_fract_x
_atom_site_fract_y
_atom_site_fract_z
_atom_site_occupancy
Sr1 Sr 0.000 0.000 0.000 1
Cl1 Cl 0.000 0.000 0.463 1
Cl2 Cl 0.000 0.500 0.233 1
O1 O 0.000 0.500 0.612 1
# **Calculated volume**: 23.6 Å³ per atom
# **Total magnetic moment**: 0.498 μB/atom


Which of them is least stable? Easy: entry i.


Entry i
# TaClO2 (GGA-PBE, relaxed)
data_TaClO2
_cell_length_a 3.0992
_cell_length_b 3.0992
_cell_length_c 23.2241
_cell_angle_alpha 90.00
_cell_angle_beta 90.00
_cell_angle_gamma 120.00
_space_group_name_H-M_alt 'R -3 m'
_space_group_IT_number 166
_space_group_name_Hall '-R 3 2"'
loop_
_atom_site_label
_atom_site_type_symbol
_atom_site_fract_x
_atom_site_fract_y
_atom_site_fract_z
_atom_site_occupancy
Ta1 Ta 0.0000 0.0000 0.0000 1
Cl1 Cl 0.0000 0.0000 0.5000 1
O1 O 0.0000 0.0000 0.0791 1
# **Calculated volume**: 16.1 Å³ per atom
# **Total magnetic moment**: 0.447 μB/atom


Entry ii
# TaClO2 (GGA-PBE, relaxed)
data_TaClO2
_cell_length_a 5.562
_cell_length_b 5.562
_cell_length_c 5.562
_cell_angle_alpha 90.00
_cell_angle_beta 90.00
_cell_angle_gamma 90.00
_space_group_name_H-M_alt 'F m -3 m'
_space_group_IT_number 225
_space_group_name_Hall '-F 4 2 3'
loop_
_atom_site_label
_atom_site_type_symbol
_atom_site_fract_x
_atom_site_fract_y
_atom_site_fract_z
_atom_site_occupancy
Ta1 Ta 0.000 0.000 0.000 1
Cl1 Cl 0.000 0.000 0.500 1
O1 O 0.250 0.250 0.250 1
# **Calculated volume**: 10.8 Å³ per atom
# **Total magnetic moment**: 0.000 μB/atom


Which of them is least stable? Easy: entry i.


Entry i
# Tc2ClO (GGA-PBE, relaxed)
data_Tc2ClO
_cell_length_a 5.782
_cell_length_b 5.782
_cell_length_c 5.782
_cell_angle_alpha 90.00
_cell_angle_beta 90.00
_cell_angle_gamma 90.00
_space_group_name_H-M_alt 'F m -3 m'
_space_group_IT_number 225
_space_group_name_Hall '-F 4 2 3'
loop_
_atom_site_label
_atom_site_type_symbol
_atom_site_fract_x
_atom_site_fract_y
_atom_site_fract_z
_atom_site_occupancy
Tc1 Tc 0.250 0.250 0.250 1
Cl1 Cl 0.000 0.000 0.000 1
O1 O 0.000 0.000 0.500 1
# **Calculated volume**: 12.1 Å³ per atom
# **Total magnetic moment**: 0.000 μB/atom


Entry ii
# Tc2ClO (GGA-PBE, relaxed)
data_Tc2ClO
_cell_length_a 4.058
_cell_length_b 4.058
_cell_length_c 14.215
_cell_angle_alpha 90.00
_cell_angle_beta 90.00
_cell_angle_gamma 90.00
_space_group_name_H-M_alt 'I -4 2 d'
_space_group_IT_number 122
_space_group_name_Hall 'I -4 2bw'
loop_
_atom_site_label
_atom_site_type_symbol
_atom_site_fract_x
_atom_site_fract_y
_atom_site_fract_z
_atom_site_occupancy
Tc1 Tc 0.162 0.250 0.125 1
Cl1 Cl 0.000 0.000 0.500 1
O1 O 0.000 0.000 0.000 1
# **Calculated volume**: 14.6 Å³ per atom
# **Total magnetic moment**: 0.000 μB/atom


Which of them is least stable? Easy: entry i.